No. 1
This record from Alexandria via LeMat-Bulk describes a relaxed structure of RbErCo2Cl8. The functional is PBE.

Lattice parameters (Å, degrees): 10.6553 7.2925 9.7902 90.00 95.22 90.00
Last column: nearest neighbours and their distance in Å.
Space group C2/m (No. 12)
Inequivalent atoms, fractional coordinates:
1 Rb 0.0000 0.0000 0.0000 [2 per cell]  6 Cl 3.43-3.48
2 Er 0.0000 0.0000 0.5000 [2 per cell]  6 Cl 2.61-2.65
3 Co 0.1209 0.5000 0.2906 [4 per cell]  4 Cl 2.18-2.31
4 Cl 0.0085 0.2481 0.6979 [8 per cell]  1 Co 2.31
5 Cl 0.1962 0.5000 0.0903 [4 per cell]  1 Co 2.18
6 Cl 0.2462 0.0000 0.5137 [4 per cell]  1 Co 2.28

Values from the calculation:
formation energy without anion corrections	-1348	meV/atom
total magnetic moment	12.0	μB per cell
DFT total energy	-101.382	eV for the cell shown

No. 2
This record from Alexandria via LeMat-Bulk describes a relaxed structure of Er3CoSeCl. The functional is PBE.

Lattice parameters (Å, degrees): 8.1243 3.8531 9.5207 90.00 94.62 90.00
Last column: nearest neighbours and their distance in Å.
Space group P2_1/m (No. 11)
Inequivalent atoms, fractional coordinates:
1 Er 0.1231 0.2500 0.3783 [2 per cell]  2 Cl 2.67, 1 Co 2.91
2 Er 0.1699 0.2500 0.8124 [2 per cell]  3 Co 2.81-2.82, 2 Se 2.86
3 Er 0.3010 0.7500 0.1090 [2 per cell]  1 Cl 2.87, 3 Co 2.89-3.13, 3 Se 2.93
4 Co 0.0353 0.2500 0.0764 [2 per cell]  2 Co 2.45
5 Se 0.4313 0.7500 0.8312 [2 per cell]  5 Er 2.86-2.93
6 Cl 0.3502 0.7500 0.4108 [2 per cell]  3 Er 2.67-2.87

Values from the calculation:
formation energy without anion corrections	-1052	meV/atom
total magnetic moment	0.0	μB per cell
DFT total energy	-64.871	eV for the cell shown

No. 3
This record from Alexandria via LeMat-Bulk describes a relaxed structure of Er3CoTeCl. The functional is PBE.

Lattice parameters (Å, degrees): 8.3604 4.0062 9.5336 90.00 96.62 90.00
Last column: nearest neighbours and their distance in Å.
Space group P2_1/m (No. 11)
Inequivalent atoms, fractional coordinates:
1 Er 0.1306 0.2500 0.3834 [2 per cell]  2 Cl 2.67, 1 Co 2.87
2 Er 0.1482 0.2500 0.8195 [2 per cell]  3 Co 2.77, 2 Te 3.05
3 Er 0.2838 0.7500 0.1136 [2 per cell]  3 Co 2.84-3.12, 1 Cl 2.85, 3 Te 3.17
4 Co 0.0407 0.2500 0.0837 [2 per cell]  2 Co 2.60, 6 Er 2.77-2.87
5 Te 0.4237 0.7500 0.8182 [2 per cell]  5 Er 3.05-3.17
6 Cl 0.3431 0.7500 0.4141 [2 per cell]  3 Er 2.67-2.85

Values from the calculation:
formation energy without anion corrections	-904	meV/atom
total magnetic moment	0.0	μB per cell
DFT total energy	-62.416	eV for the cell shown

No. 4
This record from Alexandria via LeMat-Bulk describes a relaxed structure of ErThCoCl. The functional is PBE.

Lattice parameters (Å, degrees): 6.8055 3.9311 7.8733 90.00 106.68 90.00
Last column: nearest neighbours and their distance in Å.
Space group Cm (No. 8)
Inequivalent atoms, fractional coordinates:
1 Er 0.0000 0.0000 0.0000 [2 per cell]  3 Co 2.72
2 Th 0.2911 0.5000 0.3744 [2 per cell]  3 Co 2.63
3 Co 0.3995 0.0000 0.1992 [2 per cell]  3 Th 2.63, 3 Er 2.72
4 Cl 0.2323 0.0000 0.6996 [2 per cell]  3 Er 3.20-3.21, 3 Th 3.34

Values from the calculation:
formation energy without anion corrections	-818	meV/atom
total magnetic moment	0.0	μB per cell
DFT total energy	-48.411	eV for the cell shown